An optimized crystal structure of TbTiBi2. Source: Alexandria via LeMat-Bulk, functional PBE-GGA.

The structure in POSCAR format:
```
TbTiBi2
1.0
3.4794 0.0000 0.0000
1.7397 3.0133 0.0000
1.7397 1.0044 10.8281
Bi Ti Tb
2 1 1
direct
0.0992 0.0992 0.7024
0.9008 0.9008 0.2976
0.5000 0.5000 0.5000
0.0000 0.0000 0.0000
```

Calculated values
Space-group type = R-3m, No. 166
E = -20.139 eV per formula unit
Spin magnetization = 0.0 μB per formula unit



An optimized crystal structure of Tb10Tl3Bi3. Source: Alexandria via LeMat-Bulk, functional PBE-GGA.

The structure in POSCAR format:
```
Tb10Tl3Bi3
1.0
6.6497 0.0000 0.0000
0.0000 7.8815 -4.5504
0.0000 0.0000 9.1008
Tb Tl Bi
10 3 3
direct
0.5000 0.0000 0.7638
0.5000 0.7638 0.0000
0.0000 0.0000 0.2360
0.7441 0.3333 0.6667
0.0000 0.2360 0.0000
0.0000 0.7640 0.7640
0.5000 0.2362 0.2362
0.2559 0.6667 0.3333
0.2559 0.3333 0.6667
0.7441 0.6667 0.3333
0.5000 0.6059 0.6059
0.5000 0.3941 0.0000
0.5000 0.0000 0.3941
0.0000 0.6046 0.0000
0.0000 0.3954 0.3954
0.0000 0.0000 0.6046
```

Calculated values
Space-group type = P-62m, No. 189
E = -73.535 eV per formula unit
Spin magnetization = 0.0 μB per formula unit



An optimized crystal structure of Tb7Tl5Bi. Source: Alexandria via LeMat-Bulk, functional PBE-GGA.

The structure in POSCAR format:
```
Tb7Tl5Bi
1.0
-6.0917 0.4263 -1.8669
-3.1348 -7.4536 -2.3938
-5.3747 -0.6730 6.4632
Tb Tl Bi
7 5 1
direct
0.0127 0.3190 0.6557
0.2785 0.2215 0.2215
0.6127 0.3873 0.3873
0.0127 0.6557 0.3190
0.5320 0.1327 0.8032
0.5320 0.8032 0.1327
0.2304 0.7696 0.7696
0.5166 0.4720 0.9899
0.0215 0.4720 0.9899
0.5166 0.9899 0.4720
0.7794 0.7206 0.7206
0.0215 0.9899 0.4720
0.9336 0.0664 0.0664
```

Calculated values
Space-group type = Imm2, No. 44
E = -50.767 eV per formula unit
Spin magnetization = 0.0 μB per formula unit



An optimized crystal structure of Tb8TlBi2. Source: Alexandria via LeMat-Bulk, functional PBE-GGA.

The structure in POSCAR format:
```
Tb8TlBi2
1.0
-3.8008 -0.4528 3.5477
3.9908 -4.4213 3.7112
5.6630 7.0561 3.1289
Bi Tb Tl
2 8 1
direct
0.8380 0.1745 0.6760
0.1620 0.8255 0.3240
0.5917 0.5589 0.1833
0.7861 0.6187 0.5723
0.6642 0.0867 0.3285
0.3358 0.9133 0.6715
0.9704 0.7487 0.9408
0.2139 0.3813 0.4277
0.4083 0.4411 0.8167
0.0296 0.2513 0.0592
0.5000 0.0000 0.0000
```

Calculated values
Space-group type = C2/m, No. 12
E = -50.535 eV per formula unit
Spin magnetization = 0.0 μB per formula unit



An optimized crystal structure of Tb4Tl5Bi. Source: Alexandria via LeMat-Bulk, functional PBE-GGA.

The structure in POSCAR format:
```
Tb4Tl5Bi
1.0
7.8506 0.0000 0.0000
0.0000 10.1904 0.0000
0.0000 0.0000 7.8087
Tb Tl Bi
8 10 2
direct
0.5216 0.3124 0.0000
0.4784 0.8124 0.5000
0.8077 0.0000 0.7356
0.1923 0.5000 0.7644
0.8077 0.0000 0.2644
0.5216 0.6876 0.0000
0.4784 0.1876 0.5000
0.1923 0.5000 0.2356
0.1812 0.1885 0.8044
0.8188 0.3115 0.6956
0.8188 0.6885 0.3044
0.1257 0.0000 0.5000
0.1812 0.1885 0.1956
0.8743 0.5000 0.0000
0.8188 0.3115 0.3044
0.8188 0.6885 0.6956
0.1812 0.8115 0.8044
0.1812 0.8115 0.1956
0.4981 0.0000 0.0000
0.5019 0.5000 0.5000
```

Calculated values
Space-group type = Pmmn, No. 59
E = -35.381 eV per formula unit
Spin magnetization = 0.0 μB per formula unit



An optimized crystal structure of Tb4TlBi2. Source: Alexandria via LeMat-Bulk, functional PBE-GGA.

The structure in POSCAR format:
```
Tb4TlBi2
1.0
-5.4042 1.7487 -2.3151
2.4347 -0.7001 -6.2120
-1.0188 -10.5117 0.7854
Tb Tl Bi
8 2 4
direct
0.5415 0.5066 0.2593
0.4585 0.0066 0.7407
0.4585 0.4934 0.7407
0.8608 0.2500 0.5439
0.9862 0.2500 0.1569
0.1392 0.7500 0.4561
0.5415 0.9934 0.2593
0.0138 0.7500 0.8431
0.9314 0.2500 0.8332
0.0686 0.7500 0.1668
0.3075 0.2500 0.4567
0.4187 0.2500 0.0006
0.5813 0.7500 0.9994
0.6925 0.7500 0.5433
```

Calculated values
Space-group type = P2_1/m, No. 11
E = -31.572 eV per formula unit
Spin magnetization = 0.0 μB per formula unit



An optimized crystal structure of Tb3Tl12Bi5. Source: Alexandria via LeMat-Bulk, functional PBE-GGA.

The structure in POSCAR format:
```
Tb3Tl12Bi5
1.0
-3.7983 -14.2541 5.6280
9.4371 -1.6408 -12.5511
7.5002 8.2458 11.1819
Tl Tb Bi
48 12 20
direct
0.9427 0.5612 0.1770
0.0573 0.4388 0.8230
0.7343 0.6158 0.1770
0.1185 0.3842 0.0612
0.8842 0.0612 0.6185
0.6158 0.7343 0.6770
0.6770 0.2343 0.6158
0.2343 0.6770 0.1158
0.3842 0.2657 0.3230
0.8815 0.2657 0.4427
0.6185 0.5612 0.8842
0.2657 0.3842 0.8230
0.9427 0.3815 0.2657
0.8815 0.6158 0.9388
0.8842 0.8230 0.7657
0.6770 0.4427 0.5612
0.9388 0.1158 0.8815
0.3815 0.9427 0.7657
0.6185 0.0573 0.2343
0.0612 0.1770 0.4427
0.7657 0.4427 0.3815
0.5612 0.9427 0.6770
0.1185 0.7343 0.5573
0.1770 0.0612 0.9427
0.5612 0.6185 0.3842
0.9388 0.8230 0.5573
0.2657 0.8815 0.9427
0.6158 0.8815 0.4388
0.3842 0.1185 0.5612
0.4388 0.3815 0.6158
0.4388 0.0573 0.3230
0.1158 0.9388 0.3815
0.8230 0.8842 0.2657
0.1770 0.1158 0.7343
0.3815 0.4388 0.1158
0.7657 0.3230 0.8842
0.0612 0.8842 0.1185
0.7343 0.1185 0.0573
0.5573 0.2343 0.1185
0.0573 0.6185 0.7343
0.3230 0.7657 0.3842
0.4427 0.6770 0.0612
0.5573 0.3230 0.9388
0.2343 0.5573 0.6185
0.4427 0.7657 0.8815
0.3230 0.5573 0.4388
0.1158 0.1770 0.2343
0.8230 0.9388 0.0573
0.7500 0.3750 0.1250
0.1250 0.2500 0.8750
0.8750 0.1250 0.2500
0.8750 0.7500 0.1250
0.2500 0.6250 0.8750
0.3750 0.7500 0.6250
0.7500 0.8750 0.6250
0.6250 0.3750 0.7500
0.3750 0.6250 0.2500
0.1250 0.8750 0.7500
0.2500 0.1250 0.3750
0.6250 0.2500 0.3750
0.3750 0.1250 0.7500
0.6250 0.8750 0.2500
0.5000 0.0000 0.0000
0.0000 0.5000 0.5000
0.2500 0.8750 0.1250
0.8750 0.2500 0.6250
0.1250 0.3750 0.2500
0.1250 0.7500 0.3750
0.5000 0.0000 0.5000
0.8750 0.6250 0.7500
0.6250 0.7500 0.8750
0.0000 0.0000 0.0000
0.5000 0.5000 0.0000
0.0000 0.0000 0.5000
0.5000 0.5000 0.5000
0.2500 0.3750 0.6250
0.3750 0.2500 0.1250
0.7500 0.1250 0.8750
0.7500 0.6250 0.3750
0.0000 0.5000 0.0000
```

Calculated values
Space-group type = Ia-3d, No. 230
E = -58.258 eV per formula unit
Spin magnetization = 0.0 μB per formula unit



An optimized crystal structure of Tb4TlBi3. Source: Alexandria via LeMat-Bulk, functional PBE-GGA.

The structure in POSCAR format:
```
Tb4TlBi3
1.0
6.3340 0.0000 0.0000
0.0000 6.3340 0.0000
0.0000 0.0000 6.3340
Tb Bi Tl
4 3 1
direct
0.5000 0.0000 0.0000
0.5000 0.5000 0.5000
0.0000 0.5000 0.0000
0.0000 0.0000 0.5000
0.0000 0.5000 0.5000
0.5000 0.0000 0.5000
0.5000 0.5000 0.0000
0.0000 0.0000 0.0000
```

Calculated values
Space-group type = Pm-3m, No. 221
E = -37.817 eV per formula unit
Spin magnetization = 0.0 μB per formula unit



An optimized crystal structure of Tb5TlBi4. Source: Alexandria via LeMat-Bulk, functional PBE-GGA.

The structure in POSCAR format:
```
Tb5TlBi4
1.0
6.3247 0.0000 0.0000
3.1624 7.0896 0.0000
3.1624 0.0000 7.0896
Bi Tl Tb
4 1 5
direct
0.2012 0.2004 0.3992
0.8007 0.7996 0.6008
0.4015 0.3992 0.7996
0.6004 0.6008 0.2004
0.0015 0.0000 0.0000
0.8985 0.4052 0.7996
0.6981 0.2004 0.4052
0.5013 0.0000 0.0000
0.3037 0.7996 0.5948
0.1034 0.5948 0.2004
```

Calculated values
Space-group type = I4/m, No. 87
E = -48.050 eV per formula unit
Spin magnetization = 0.0 μB per formula unit



An optimized crystal structure of Tb7Tl4Bi. Source: Alexandria via LeMat-Bulk, functional PBE-GGA.

The structure in POSCAR format:
```
Tb7Tl4Bi
1.0
5.8320 0.0000 0.0000
2.9160 9.0062 -0.0120
2.9160 0.3422 7.1846
Tb Bi Tl
7 1 4
direct
0.0720 0.6817 0.1744
0.9280 0.3183 0.8256
0.5000 0.0000 0.0000
0.7883 0.8710 0.5524
0.6551 0.4179 0.2719
0.2117 0.1290 0.4476
0.3449 0.5821 0.7281
0.0000 0.0000 0.0000
0.4319 0.7732 0.3629
0.2883 0.3414 0.0820
0.7117 0.6586 0.9180
0.5681 0.2268 0.6371
```

Calculated values
Space-group type = C2/m, No. 12
E = -47.558 eV per formula unit
Spin magnetization = 1.3 μB per formula unit



An optimized crystal structure of Tb5TlBi2. Source: Alexandria via LeMat-Bulk, functional PBE-GGA.

The structure in POSCAR format:
```
Tb5TlBi2
1.0
-2.3321 1.9905 -4.9439
1.4976 -6.3646 0.1538
-13.5249 -3.0581 5.1486
Bi Tb Tl
4 10 2
direct
0.2029 0.4058 0.8846
0.2029 0.4058 0.6154
0.7971 0.5942 0.3846
0.7971 0.5942 0.1154
0.0741 0.1482 0.4007
0.9259 0.8518 0.9007
0.6211 0.2421 0.9506
0.4229 0.8458 0.7500
0.3789 0.7579 0.4506
0.3789 0.7579 0.0494
0.9259 0.8518 0.5993
0.0741 0.1482 0.0993
0.5771 0.1542 0.2500
0.6211 0.2421 0.5494
0.7112 0.4224 0.7500
0.2888 0.5776 0.2500
```

Calculated values
Space-group type = Cmcm, No. 63
E = -35.430 eV per formula unit
Spin magnetization = 0.0 μB per formula unit



An optimized crystal structure of Tb4Tl2Bi. Source: Alexandria via LeMat-Bulk, functional PBE-GGA.

The structure in POSCAR format:
```
Tb4Tl2Bi
1.0
5.8564 0.0000 -0.1940
0.0000 6.6355 0.0000
-2.3955 0.0000 10.6879
Tb Bi Tl
8 2 4
direct
0.6264 0.5083 0.2652
0.3736 0.4917 0.7348
0.7880 0.2500 0.5544
0.9326 0.7500 0.8592
0.2120 0.7500 0.4456
0.6264 0.9917 0.2652
0.0674 0.2500 0.1408
0.3736 0.0083 0.7348
0.9246 0.2500 0.8399
0.0754 0.7500 0.1601
0.7677 0.7500 0.5598
0.4964 0.7500 0.9960
0.2323 0.2500 0.4402
0.5036 0.2500 0.0040
```

Calculated values
Space-group type = P2_1/m, No. 11
E = -29.584 eV per formula unit
Spin magnetization = 0.0 μB per formula unit